1.
6
Lattice="3.979 -2.303 0.000 3.979 2.303 0.000 -2.669 0.000 7.256" Properties=species:S:1:pos:R:3 comment="Sc4OsPd (GGA-PBE, relaxed)" de_polymorph_mev_per_atom=73 ef_ev_per_atom=-0.38 n_ef_per_ev_cell=6.86 pbc="T T T"
Sc -0.007 0.000 2.642
Sc 2.651 0.000 0.808
Sc 2.637 0.000 6.448
Sc 5.295 0.000 4.614
Os 0.000 0.000 0.000
Pd 2.644 0.000 3.628

2.
8
Lattice="-3.628 3.628 2.733 3.628 -3.628 2.733 3.628 3.628 -2.733" Properties=species:S:1:pos:R:3 comment="Mo2WAu (GGA-PBE, relaxed)" de_polymorph_mev_per_atom=745 ef_ev_per_atom=0.89 n_ef_per_ev_cell=7.46 pbc="T T T"
Mo 5.442 1.643 -0.683
Mo 1.643 1.814 0.683
Mo -1.814 1.985 2.050
Mo 1.985 1.814 3.417
W 0.000 0.000 0.000
W 0.000 3.628 1.367
Au 3.628 0.000 1.367
Au 0.000 0.000 2.733

3.
12
Lattice="4.162 -1.272 0.000 4.162 1.272 0.000 -3.817 0.000 7.111" Properties=species:S:1:pos:R:3 comment="BC2 (GGA-PBE, relaxed)" de_polymorph_mev_per_atom=46 ef_ev_per_atom=0.29 n_ef_per_ev_cell=1.19 pbc="T T T"
B -1.192 0.000 3.117
B -0.749 0.000 4.922
B 5.257 0.000 2.189
B 5.699 0.000 3.995
C -3.065 0.000 6.997
C 1.518 0.000 1.178
C 0.861 0.000 4.761
C 3.006 0.000 0.959
C 1.502 0.000 6.152
C 3.647 0.000 2.350
C 2.990 0.000 5.933
C 7.572 0.000 0.114